[1]
An optimized crystal structure of TmTlAsO, computed with PBE.

Lattice parameters (Å, degrees): 5.115 7.333 5.730 90.00 90.00 90.00
Atoms (fractional coordinates):
O: 0.500 0.893 0.368
O: 0.500 0.107 0.868
As: 0.000 0.302 0.433
As: 0.000 0.698 0.933
Tl: 0.000 0.722 0.439
Tl: 0.000 0.278 0.939
Tm: 0.500 0.148 0.514
Tm: 0.500 0.852 0.014

The value obtained for the total magnetization is 0.0 μB per formula unit. Its relative energy among the computed polymorphs is 0.027 eV per atom.

[2]
An optimized crystal structure of Y2HoCd3Ag3, computed with PBE.

Lattice parameters (Å, degrees): 3.897 7.846 7.846 119.90 90.00 90.00
Atoms (fractional coordinates):
Ag: 0.500 0.335 0.666
Ag: 0.500 0.666 0.335
Ag: 0.000 0.999 0.999
Cd: 0.500 0.263 0.263
Cd: 0.500 0.000 0.737
Cd: 0.500 0.737 0.000
Ho: 0.000 0.596 0.596
Y: 0.000 0.404 0.000
Y: 0.000 0.000 0.404

The formation energy is -345.4 meV/atom. The value obtained for the total magnetization is 0.0 μB per formula unit.

[3]
An optimized crystal structure of CsNd2Cu3TeS4, computed with PBE.

Lattice parameters (Å, degrees): 7.452 7.452 18.047 90.00 90.00 147.62
Atoms (fractional coordinates):
Cu: 0.586 0.414 0.464
Cu: 0.653 0.347 0.750
Cu: 0.586 0.414 0.036
Cu: 0.414 0.586 0.536
Cu: 0.347 0.653 0.250
Cu: 0.414 0.586 0.964
S: 0.442 0.558 0.399
S: 0.834 0.166 0.569
S: 0.558 0.442 0.601
S: 0.166 0.834 0.431
S: 0.558 0.442 0.899
S: 0.442 0.558 0.101
S: 0.834 0.166 0.931
S: 0.166 0.834 0.069
Nd: 0.813 0.187 0.083
Nd: 0.813 0.187 0.417
Nd: 0.187 0.813 0.583
Nd: 0.187 0.813 0.917
Te: 0.245 0.755 0.750
Te: 0.755 0.245 0.250
Cs: 0.952 0.048 0.750
Cs: 0.048 0.952 0.250

The value obtained for the total magnetization is 0.0 μB per formula unit.

[4]
An optimized crystal structure of InAgTe2PbS, computed with PBE.

Lattice parameters (Å, degrees): 7.349 7.349 11.563 90.00 90.00 148.04
Atoms (fractional coordinates):
In: 0.268 0.732 0.250
In: 0.732 0.268 0.750
S: 0.090 0.910 0.750
S: 0.910 0.090 0.250
Pb: 0.000 0.000 0.500
Pb: 0.000 0.000 0.000
Te: 0.330 0.670 0.576
Te: 0.670 0.330 0.424
Te: 0.330 0.670 0.924
Te: 0.670 0.330 0.076
Ag: 0.472 0.528 0.750
Ag: 0.528 0.472 0.250

[5]
An optimized crystal structure of NaYNiSn, computed with PBE.

Lattice parameters (Å, degrees): 4.993 4.993 4.993 60.00 60.00 60.00
Atoms (fractional coordinates):
Y: 0.250 0.250 0.250
Na: 0.750 0.750 0.750
Ni: 0.000 0.000 0.000
Sn: 0.500 0.500 0.500

The value obtained for the total magnetization is 0.1 μB per formula unit. Its relative energy among the computed polymorphs is 0.186 eV per atom.

[6]
An optimized crystal structure of TbHoIn3Si2, computed with PBE.

Lattice parameters (Å, degrees): 5.737 5.737 6.989 99.23 99.23 43.78
Atoms (fractional coordinates):
In: 0.000 0.000 0.501
In: 0.695 0.695 0.350
In: 0.305 0.305 0.650
Tb: 0.379 0.379 0.168
Ho: 0.621 0.621 0.832
Si: 0.093 0.093 0.116
Si: 0.907 0.907 0.881

The value obtained for the total magnetization is 0.0 μB per formula unit.

E_tot values, unit eV per atom, following the record order: -5.47 -3.53 -4.84 -3.43 -4.45 -4.47.
Density values, unit g/cm³, following the record order: 7.174 8.014 5.371 7.205 5.458 7.676.